No. 1
This record from the Alexandria database describes crystalline TlZnGa2Rh at its relaxed geometry. The functional is PBE.

The structure in CIF format:
```
data_TlZnGa2Rh
_space_group_name_H-M_alt 'P 1'
_space_group_IT_number 1
_space_group_name_Hall 'P 1'
_cell_length_a 4.796
_cell_length_b 4.796
_cell_length_c 4.954
_cell_angle_alpha 90.00
_cell_angle_beta 90.00
_cell_angle_gamma 90.00
loop_
_atom_site_label
_atom_site_fract_x
_atom_site_fract_y
_atom_site_fract_z
_atom_site_occupancy
Tl1 0.500 0.500 0.500 1
Ga1 0.000 0.500 0.000 1
Ga2 0.500 0.000 0.000 1
Rh1 0.000 0.000 0.000 1
Zn1 0.000 0.000 0.500 1
```

Values from the calculation:
Final energy, eV/cell: -17.84
Calculated formation energy, meV/atom: -160
Space-group type: P4/mmm (123)

No. 2
This record from the Alexandria database describes crystalline Tm2Ga5Rh4 at its relaxed geometry. The functional is PBE.

The structure in CIF format:
```
data_Tm2Ga5Rh4
_space_group_name_H-M_alt 'P 1'
_space_group_IT_number 1
_space_group_name_Hall 'P 1'
_cell_length_a 5.282
_cell_length_b 5.414
_cell_length_c 8.340
_cell_angle_alpha 81.11
_cell_angle_beta 71.54
_cell_angle_gamma 60.80
loop_
_atom_site_label
_atom_site_fract_x
_atom_site_fract_y
_atom_site_fract_z
_atom_site_occupancy
Rh1 0.470 0.314 0.746 1
Ga1 0.500 0.500 0.000 1
Rh2 0.784 0.686 0.746 1
Rh3 0.530 0.686 0.254 1
Ga2 0.250 0.500 0.500 1
Ga3 0.000 0.500 0.000 1
Rh4 0.216 0.314 0.254 1
Tm1 0.846 0.000 0.308 1
Tm2 0.154 0.000 0.692 1
Ga4 0.500 0.000 0.000 1
Ga5 0.750 0.500 0.500 1
```

Values from the calculation:
Final energy, eV/cell: -61.15
Calculated formation energy, meV/atom: -697
Space-group type: Fmmm (69)

No. 3
This record from the Alexandria database describes crystalline Tm5Ga2Rh2 at its relaxed geometry. The functional is PBE.

The structure in CIF format:
```
data_Tm5Ga2Rh2
_space_group_name_H-M_alt 'P 1'
_space_group_IT_number 1
_space_group_name_Hall 'P 1'
_cell_length_a 7.319
_cell_length_b 7.495
_cell_length_c 8.452
_cell_angle_alpha 116.32
_cell_angle_beta 90.00
_cell_angle_gamma 90.00
loop_
_atom_site_label
_atom_site_fract_x
_atom_site_fract_y
_atom_site_fract_z
_atom_site_occupancy
Tm1 0.833 0.803 0.258 1
Rh1 0.367 0.133 0.000 1
Tm2 0.500 0.500 0.000 1
Tm3 0.333 0.697 0.742 1
Tm4 0.333 0.955 0.258 1
Rh2 0.133 0.633 0.000 1
Rh3 0.633 0.867 0.000 1
Tm5 0.167 0.197 0.742 1
Tm6 0.667 0.303 0.258 1
Tm7 0.000 0.000 0.000 1
Tm8 0.667 0.045 0.742 1
Tm9 0.167 0.455 0.258 1
Ga1 0.500 0.713 0.425 1
Ga2 0.000 0.787 0.575 1
Ga3 0.500 0.287 0.575 1
Ga4 0.000 0.213 0.425 1
Rh4 0.867 0.367 0.000 1
Tm10 0.833 0.545 0.742 1
```

Values from the calculation:
Final energy, eV/cell: -97.86
Calculated formation energy, meV/atom: -646
Space-group type: Cmce (64)

Which formula does entry 1 have? TlZnGa2Rh

Which value of final energy does entry 3 give? -97.86 eV/cell

final energy of number 2 (Tm2Ga5Rh4)? -61.15 eV/cell

Among the records above, which one has the lowest calculated formation energy? Tm2Ga5Rh4